[1]
A plane-wave DFT calculation with PBE was carried out for an optimized crystal structure of BaBe2PbF8.

As for the calculated density: 4.42 g/cm³. For the formation energy from raw total energies, the calculation gives -3.216 eV/atom. The value obtained for the magnetic moment is 0.00 μB per atom.

The space group is C2/m (No. 12) and the conventional cell measures 8.164, 5.473 and 8.665 Å, with angles of 90.00, 91.75 and 90.00 degrees. The inequivalent atoms are Ba at (0.000, 0.000, 0.000), Be at (0.104, 0.500, 0.258), Pb at (0.000, 0.000, 0.500), F at (0.004, 0.263, 0.741), F at (0.190, 0.500, 0.098) and F at (0.209, 0.500, 0.410).

[2]
A plane-wave DFT calculation with PBE was carried out for an optimized crystal structure of BaBe2PdF8.

As for the calculated density: 3.86 g/cm³. For the formation energy from raw total energies, the calculation gives -2.873 eV/atom. The value obtained for the magnetic moment is 0.17 μB per atom.

The space group is C2/m (No. 12) and the conventional cell measures 8.223, 5.466 and 7.944 Å, with angles of 90.00, 94.01 and 90.00 degrees. The inequivalent atoms are Ba at (0.000, 0.000, 0.000), Be at (0.122, 0.500, 0.281), Pd at (0.000, 0.000, 0.500), F at (0.011, 0.263, 0.285), F at (0.191, 0.500, 0.101) and F at (0.242, 0.500, 0.435).

What did the first record say?
A plane-wave DFT calculation with PBE was carried out for an optimized crystal structure of BaBe2PbF8.

As for the calculated density: 4.42 g/cm³. For the formation energy from raw total energies, the calculation gives -3.216 eV/atom. The value obtained for the magnetic moment is 0.00 μB per atom.

The space group is C2/m (No. 12) and the conventional cell measures 8.164, 5.473 and 8.665 Å, with angles of 90.00, 91.75 and 90.00 degrees. The inequivalent atoms are Ba at (0.000, 0.000, 0.000), Be at (0.104, 0.500, 0.258), Pb at (0.000, 0.000, 0.500), F at (0.004, 0.263, 0.741), F at (0.190, 0.500, 0.098) and F at (0.209, 0.500, 0.410).

> Look up the calculated density of the second one.

3.86 g/cm³